Here is MgTiBiCl2 after structural relaxation from Alexandria. Energies are from PBE.

Properties
E_form (uncorrected), eV per atom: -0.68
SG: P4/mmm

The structure in extended XYZ format:
```
5
Lattice="4.680 0.000 0.000 0.000 5.997 0.000 0.000 0.000 4.680" Properties=species:S:1:pos:R:3 pbc="T T T"
Mg 2.340 2.998 2.340
Cl 0.000 0.000 2.340
Cl 2.340 0.000 0.000
Bi 0.000 2.998 0.000
Ti 0.000 0.000 0.000
```


Here is Nd2Ho3Er6Zr after structural relaxation from Alexandria. Energies are from PBE.

Properties
ΔH_f (0 K), kJ/mol of formula units: 61
SG: C2/m

The structure in extended XYZ format:
```
12
Lattice="6.076 0.003 0.003 -3.034 5.264 0.003 -1.014 -1.755 11.436" Properties=species:S:1:pos:R:3 pbc="T T T"
Nd 0.002 3.511 0.003
Nd 3.041 1.756 0.003
Ho -2.025 3.512 5.721
Ho 4.054 0.001 5.721
Ho 1.014 1.756 5.721
Er 3.018 1.793 8.607
Er 2.051 3.552 2.835
Er -0.989 1.720 2.835
Er 0.045 3.510 8.607
Er -0.023 -0.039 8.608
Er 1.984 0.003 2.835
Zr 0.000 0.000 0.000
```


Here is ScTa2Al after structural relaxation from Alexandria. Energies are from PBE.

Properties
ΔH_f (0 K), kJ/mol of formula units: 23
SG: R3m

The structure in extended XYZ format:
```
4
Lattice="9.831 -0.005 -0.003 9.372 2.971 -0.003 9.372 1.447 2.594" Properties=species:S:1:pos:R:3 pbc="T T T"
Sc 21.439 3.311 1.942
Al 14.364 2.218 1.301
Ta 28.551 4.409 2.586
Ta 7.082 1.094 0.641
```


Here is CaPmErSc after structural relaxation from Alexandria. Energies are from PBE.

Properties
ΔH_f (0 K), kJ/mol of formula units: 62
SG: F-43m

The structure in extended XYZ format:
```
4
Lattice="-0.955 -5.188 -1.976 1.865 -4.487 2.849 -3.655 -3.386 2.627" Properties=species:S:1:pos:R:3 pbc="T T T"
Sc -1.373 -6.530 1.750
Ca 0.000 0.000 0.000
Pm -2.059 -9.796 2.625
Er -0.686 -3.265 0.875
```